1.
A plane-wave DFT calculation with GGA-PBE was carried out for a relaxed structure of Ac3AgSn2.

The structure in POSCAR format:
```
Ac3AgSn2
1.0
7.546 -3.401 0.000
7.546 3.401 0.000
-2.890 0.000 8.937
Ac Ag Sn
6 2 4
direct
0.083 0.917 0.750
0.324 0.332 0.915
0.332 0.324 0.415
0.668 0.676 0.585
0.676 0.668 0.085
0.917 0.083 0.250
0.412 0.588 0.250
0.588 0.412 0.750
0.155 0.167 0.582
0.167 0.155 0.082
0.833 0.845 0.918
0.845 0.833 0.418
```

Calculated values
For the polymorph energy (0 for the lowest one), the calculation gives 102.4 kJ/mol of formula units. Its space group is C2/c, No. 15. The value obtained for the total magnetization is 0.00 μB/f.u. Its formation energy is -0.410 eV/atom. The value obtained for the total DFT energy (no corrections) is -4.274 eV/atom.


2.
A plane-wave DFT calculation with GGA-PBE was carried out for a relaxed structure of Ba3BO4.

The structure in POSCAR format:
```
Ba3BO4
1.0
7.510 0.000 0.000
0.000 6.554 0.000
0.000 0.000 6.023
Ba B O
6 2 8
direct
0.000 0.063 0.000
0.230 0.375 0.497
0.270 0.625 0.997
0.500 0.937 0.500
0.730 0.625 0.997
0.770 0.375 0.497
0.000 0.833 0.494
0.500 0.167 0.994
0.000 0.060 0.447
0.000 0.707 0.271
0.167 0.776 0.622
0.333 0.224 0.122
0.500 0.293 0.771
0.500 0.940 0.947
0.667 0.224 0.122
0.833 0.776 0.622
```

Calculated values
Its space group is Pmn2_1, No. 31. The value obtained for the total magnetization is 0.98 μB/f.u. Its energy relative to the elements, uncorrected is -2.2063 eV per atom. The value obtained for the total DFT energy (no corrections) is -6.241 eV/atom.


3.
A plane-wave DFT calculation with GGA-PBE was carried out for a relaxed structure of CrCo2Os.

The structure in POSCAR format:
```
CrCo2Os
1.0
4.239 -1.296 0.000
4.239 1.296 0.000
-0.804 0.000 4.327
Cr Co Os
1 2 1
direct
0.000 0.000 0.000
0.251 0.251 0.755
0.749 0.749 0.245
0.500 0.500 0.500
```

Calculated values
For the polymorph energy (0 for the lowest one), the calculation gives 48.7 kJ/mol of formula units. Its space group is C2/m, No. 12. The value obtained for the total magnetization is 1.59 μB/f.u. Its formation energy is 0.138 eV/atom. The value obtained for the total DFT energy (no corrections) is -8.629 eV/atom.


4.
A plane-wave DFT calculation with GGA-PBE was carried out for a relaxed structure of Rb3NaSb2O6.

The structure in POSCAR format:
```
Rb3NaSb2O6
1.0
6.489 0.000 0.000
-3.245 5.620 0.000
0.000 0.000 7.503
Rb Na Sb O
3 1 2 6
direct
0.000 0.000 0.000
0.333 0.667 0.652
0.667 0.333 0.348
0.000 0.000 0.500
0.333 0.667 0.195
0.667 0.333 0.805
0.175 0.350 0.291
0.175 0.825 0.291
0.350 0.175 0.709
0.650 0.825 0.291
0.825 0.175 0.709
0.825 0.650 0.709
```

Calculated values
Its space group is P-3m1, No. 164. The value obtained for the total magnetization is 1.93 μB/f.u. Its energy relative to the elements, uncorrected is -1.3312 eV per atom. The value obtained for the total DFT energy (no corrections) is -4.849 eV/atom.